## BaGe4Pd4 (PBE)

Data for an optimized crystal structure of BaGe4Pd4.

The total energy is -5.09 eV per atom. The calculation puts the formation energy at -0.5118 eV per atom. As for the energy above the most stable polymorph in this dataset: 1.8 kJ per mole of atoms. For the spin magnetization, the calculation gives 0.00 μB/atom.

The structure belongs to space group I4/m (No. 87); the cell edges are 8.736, 8.736 and 4.848 Å and the angles 90.00°, 90.00° and 90.00°. The asymmetric unit holds Ba at (0.000, 0.000, 0.000), Ge at (0.160, 0.302, 0.500) and Pd at (0.114, 0.384, 0.000).

## HoThCuPd (PBE)

Data for an optimized crystal structure of HoThCuPd.

The total energy is -5.76 eV per atom. The calculation puts the formation energy at -0.4430 eV per atom. As for the energy above the most stable polymorph in this dataset: 6.4 kJ per mole of atoms. For the spin magnetization, the calculation gives 0.00 μB/atom.

The structure belongs to space group F-43m (No. 216); the cell edges are 7.111, 7.111 and 7.111 Å and the angles 90.00°, 90.00° and 90.00°. The asymmetric unit holds Ho at (0.000, 0.000, 0.000), Th at (0.000, 0.000, 0.500), Cu at (0.250, 0.250, 0.750) and Pd at (0.250, 0.250, 0.250).

## Co5AgBr12 (PBE)

Data for an optimized crystal structure of Co5AgBr12.

The total energy is -3.50 eV per atom. For the spin magnetization, the calculation gives 0.12 μB/atom.

The structure belongs to space group C2/m (No. 12); the cell edges are 6.492, 11.262 and 13.410 Å and the angles 90.00°, 90.02° and 90.00°. The asymmetric unit holds Co at (0.000, 0.000, 0.000), Co at (0.000, 0.167, 0.500), Co at (0.000, 0.333, 0.000), Ag at (0.000, 0.500, 0.500), Br at (0.124, 0.000, 0.604), Br at (0.166, 0.166, 0.895), Br at (0.167, 0.500, 0.895) and Br at (0.189, 0.312, 0.604).

## Pm2Y4Ge3O2 (PBE)

Data for an optimized crystal structure of Pm2Y4Ge3O2.

The total energy is -6.95 eV per atom. For the spin magnetization, the calculation gives 0.00 μB/atom.

The structure belongs to space group I4/mmm (No. 139); the cell edges are 4.573, 4.573 and 24.091 Å and the angles 90.00°, 90.00° and 90.00°. The asymmetric unit holds Pm at (0.000, 0.000, 0.198), Y at (0.000, 0.500, 0.080), Ge at (0.000, 0.000, 0.327), Ge at (0.000, 0.000, 0.500) and O at (0.000, 0.000, 0.094).

## Pm2ScIr (PBE)

Data for an optimized crystal structure of Pm2ScIr.

The total energy is -6.54 eV per atom. The calculation puts the formation energy at -0.3711 eV per atom. As for the energy above the most stable polymorph in this dataset: 0.0 kJ per mole of atoms. For the spin magnetization, the calculation gives 0.00 μB/atom.

The structure belongs to space group Pmm2 (No. 25); the cell edges are 3.405, 3.451 and 8.771 Å and the angles 90.00°, 90.00° and 90.00°. The asymmetric unit holds Pm at (0.000, 0.000, 0.000), Pm at (0.500, 0.500, 0.337), Sc at (0.000, 0.000, 0.632) and Ir at (0.500, 0.500, 0.789).

## Pm12MgCo6 (PBE)

Data for an optimized crystal structure of Pm12MgCo6.

The total energy is -5.44 eV per atom. The calculation puts the formation energy at -0.1071 eV per atom. For the spin magnetization, the calculation gives 0.00 μB/atom.

The structure belongs to space group Im-3 (No. 204); the cell edges are 9.969, 9.969 and 9.969 Å and the angles 90.00°, 90.00° and 90.00°. The asymmetric unit holds Pm at (0.000, 0.307, 0.195), Mg at (0.000, 0.000, 0.000) and Co at (0.000, 0.111, 0.500).